(1)
# Pm3Sb2AsRh8 (PBE, relaxed)
# E_tot: -93.95 eV/cell
# M_tot: 0.000 μB/f.u.
data_Pm3Sb2AsRh8
_chemical_formula_sum 'Pm3 Sb2 As1 Rh8'
_space_group_name_H-M_alt 'P -3 m 1'
_space_group_IT_number 164
_space_group_name_Hall '-P 3 2"'
_cell_length_a 5.4837
_cell_length_b 5.4837
_cell_length_c 10.0572
_cell_angle_alpha 90.00
_cell_angle_beta 90.00
_cell_angle_gamma 120.00
loop_
_atom_site_label
_atom_site_fract_x
_atom_site_fract_y
_atom_site_fract_z
Pm1 0.0000 0.0000 0.0000
Pm2 0.3333 0.6667 0.5625
Sb1 0.3333 0.6667 0.0928
As1 0.0000 0.0000 0.5000
Rh1 0.1625 0.3250 0.2932
Rh2 0.3333 0.6667 0.8380

***

(2)
# LiBP (PBE, relaxed)
# ΔE_f: -30.1 kJ/mol of atoms
# E_tot: -29.87 eV/cell
# Distance to the lowest polymorph of the same formula: 11 meV/atom
# M_tot: 0.000 μB/f.u.
data_LiBP
_chemical_formula_sum 'Li2 B2 P2'
_space_group_name_H-M_alt 'P -1'
_space_group_IT_number 2
_cell_length_a 3.176
_cell_length_b 5.126
_cell_length_c 5.165
_cell_angle_alpha 104.70
_cell_angle_beta 90.01
_cell_angle_gamma 90.45
loop_
_space_group_symop_operation_xyz
'x,y,z'
'-x,-y,-z'
loop_
_atom_site_label
_atom_site_fract_x
_atom_site_fract_y
_atom_site_fract_z
Li1 0.005 0.311 0.242
B1 0.499 0.926 0.122
P1 0.002 0.170 0.705

***

(3)
# La8Se3I4Br (PBE, relaxed)
# E_tot: -240.25 eV/cell
# M_tot: 0.000 μB/f.u.
data_La8Se3I4Br
_chemical_formula_sum 'La24 Se9 I12 Br3'
_space_group_name_H-M_alt 'R -3 m'
_space_group_IT_number 166
_space_group_name_Hall '-R 3 2"'
_cell_length_a 8.5107
_cell_length_b 8.5107
_cell_length_c 23.9622
_cell_angle_alpha 90.00
_cell_angle_beta 90.00
_cell_angle_gamma 120.00
loop_
_atom_site_label
_atom_site_fract_x
_atom_site_fract_y
_atom_site_fract_z
La1 0.0000 0.0000 0.2365
La2 0.0067 0.5033 0.7620
Se1 0.0000 0.5000 0.5000
I1 0.0000 0.0000 0.0000
I2 0.0000 0.5000 0.0000
Br1 0.0000 0.0000 0.5000